(1)
DFT (PBE) results for a relaxed structure of KAcBiSb.

Summary:
Density of states at the Fermi level: 5.1 states/eV per cell
Space group: No. 216
Formation energy (no corrections): -0.50 eV/atom

a = 5.861 Å, b = 5.861 Å, c = 5.861 Å
α = 60.00°, β = 60.00°, γ = 60.00°
Atoms (fractional coordinates):
K (0.000, 0.000, 0.000)
Ac (0.500, 0.500, 0.500)
Bi (0.250, 0.250, 0.250)
Sb (0.750, 0.750, 0.750)

***

(2)
DFT (PBE) results for a relaxed structure of Tm3Se.

Summary:
Density of states at the Fermi level: 5.3 states/eV per cell
Space group: No. 25
ΔE to the lowest computed polymorph: 202 meV/atom
Formation energy (no corrections): -0.57 eV/atom

a = 3.535 Å, b = 3.595 Å, c = 9.164 Å
α = 90.00°, β = 90.00°, γ = 90.00°
Atoms (fractional coordinates):
Tm (0.000, 0.000, 0.000)
Tm (0.000, 0.500, 0.403)
Tm (0.500, 0.500, 0.739)
Se (0.500, 0.000, 0.253)

***

(3)
DFT (PBE) results for a relaxed structure of ZrHgIr2.

Summary:
Energy of formation from the pure elements: -0.2 eV/f.u.
Density of states at the Fermi level: 4.5 states/eV per cell
Space group: No. 99

a = 3.575 Å, b = 3.575 Å, c = 5.687 Å
α = 90.00°, β = 90.00°, γ = 90.00°
Atoms (fractional coordinates):
Zr (0.000, 0.000, 0.000)
Hg (0.500, 0.500, 0.307)
Ir (0.000, 0.000, 0.531)
Ir (0.500, 0.500, 0.804)

***

(4)
DFT (PBE) results for a relaxed structure of BeNiSe2.

Summary:
Density of states at the Fermi level: 2.6 states/eV per cell
Space group: No. 216
Formation energy (no corrections): 0.66 eV/atom

a = 4.415 Å, b = 4.415 Å, c = 4.415 Å
α = 60.00°, β = 60.00°, γ = 60.00°
Atoms (fractional coordinates):
Be (0.000, 0.000, 0.000)
Ni (0.250, 0.250, 0.250)
Se (0.500, 0.500, 0.500)
Se (0.750, 0.750, 0.750)

***

- Which of these has the highest density of states at the Fermi level?
  Tm3Se